## RbPt2I (GGA-PBE)

Data for RbPt2I after structural relaxation.

Cell lengths 5.5800, 5.5800, 9.5539 Å; angles 73.02, 73.02, 90.00 degrees
Element x y z (fractional)
I 0.0000 0.0000 0.0000
I 0.7500 0.2500 0.5000
Rb 0.5000 0.5000 0.0000
Rb 0.2500 0.7500 0.5000
Pt 0.8749 0.1250 0.2500
Pt 0.8751 0.6250 0.2500
Pt 0.3750 0.1251 0.7500
Pt 0.8750 0.1249 0.7500

Calculated values
* DOS(E_F): 2.55 states/eV per cell
* SG: I4_1/amd, No. 141
* M_tot: 0.0 μB per cell
* uncorrected formation energy: 0.027 eV per atom
* excess energy over the best structure of this formula in the dataset: 0 meV per atom